GGA-PBE CoTe2Au, relaxed; calculated volume = 85.1 Å³ per cell; E_form (uncorrected) = 6 kJ/mol of formula units; symmetry = C2/m; excess energy over the best structure of this formula in the dataset = 0.099 eV per atom; VASP energy = -4.15 eV/atom; size of the total moment = 0.000 μB per cell; theoretical density = 9.97 g/cm³
1.0
3.741 0.007 0.084
1.873 3.238 0.084
1.861 1.076 7.092
Te Co Au
2 1 1
Direct
0.508 0.508 0.451
0.992 0.992 0.049
0.250 0.250 0.250
0.750 0.750 0.750



GGA-PBE CoTeAu, relaxed; calculated volume = 57.0 Å³ per cell; E_form (uncorrected) = 74 kJ/mol of formula units; symmetry = I4mm; excess energy over the best structure of this formula in the dataset = 0.107 eV per atom; VASP energy = -4.25 eV/atom; size of the total moment = 0.000 μB per cell; theoretical density = 11.18 g/cm³
1.0
-3.775 -4.972 -1.087
-2.207 -5.757 1.464
-2.512 0.568 1.717
Co Au Te
1 1 1
Direct
0.322 0.322 0.678
0.970 0.970 0.030
0.708 0.708 0.292



GGA-PBE CoTe2Au, relaxed; calculated volume = 102.7 Å³ per cell; E_form (uncorrected) = 186 kJ/mol of formula units; symmetry = Pmmm; excess energy over the best structure of this formula in the dataset = 0.566 eV per atom; VASP energy = -3.68 eV/atom; size of the total moment = 2.086 μB per cell; theoretical density = 8.26 g/cm³
1.0
-2.958 -2.459 0.306
2.689 -3.869 -5.090
1.965 -2.042 2.590
Te Co Au
2 1 1
Direct
0.500 0.500 0.000
0.000 0.000 0.000
0.000 0.500 0.500
0.500 0.000 0.500



GGA-PBE CoTe2Au, relaxed; calculated volume = 97.2 Å³ per cell; E_form (uncorrected) = 186 kJ/mol of formula units; symmetry = I-4m2; excess energy over the best structure of this formula in the dataset = 0.567 eV per atom; VASP energy = -3.68 eV/atom; size of the total moment = 2.040 μB per cell; theoretical density = 8.73 g/cm³
1.0
7.035 -0.011 0.000
4.910 5.038 0.000
-5.972 -2.514 2.739
Co Au Te
1 1 2
Direct
0.750 0.250 0.500
0.500 0.500 0.000
0.250 0.750 0.500
0.000 0.000 0.000



GGA-PBE CoTe2Au, relaxed; calculated volume = 86.1 Å³ per cell; E_form (uncorrected) = 88 kJ/mol of formula units; symmetry = Imm2; excess energy over the best structure of this formula in the dataset = 0.312 eV per atom; VASP energy = -3.94 eV/atom; size of the total moment = 0.643 μB per cell; theoretical density = 9.86 g/cm³
1.0
-2.362 6.316 1.252
-5.424 2.533 3.347
5.645 -3.875 -0.390
Te Co Au
2 1 1
Direct
0.068 0.068 0.000
0.776 0.276 0.500
0.225 0.725 0.500
0.432 0.432 0.000



GGA-PBE CoTe2Au, relaxed; calculated volume = 99.2 Å³ per cell; E_form (uncorrected) = 86 kJ/mol of formula units; symmetry = P4mm; excess energy over the best structure of this formula in the dataset = 0.307 eV per atom; VASP energy = -3.94 eV/atom; size of the total moment = 1.835 μB per cell; theoretical density = 8.56 g/cm³
1.0
-3.513 0.951 -0.603
-0.599 -3.251 -1.640
-1.883 -2.889 6.416
Au Te Co
1 2 1
Direct
0.000 0.000 0.511
0.000 0.000 0.883
0.500 0.500 0.371
0.500 0.500 0.735



GGA-PBE Co2TeAu, relaxed; calculated volume = 62.2 Å³ per cell; E_form (uncorrected) = 130 kJ/mol of formula units; symmetry = P4/mmm; VASP energy = -4.82 eV/atom; size of the total moment = 2.779 μB per cell; theoretical density = 11.81 g/cm³
1.0
4.227 0.000 0.050
0.000 4.227 0.050
-0.038 -0.038 3.482
Co Au Te
2 1 1
Direct
0.500 0.500 0.000
0.000 0.000 0.000
0.000 0.500 0.500
0.500 0.000 0.500



GGA-PBE CoTe2Au, relaxed; calculated volume = 81.4 Å³ per cell; E_form (uncorrected) = 200 kJ/mol of formula units; symmetry = P4/mmm; excess energy over the best structure of this formula in the dataset = 0.603 eV per atom; VASP energy = -3.65 eV/atom; size of the total moment = 0.001 μB per cell; theoretical density = 10.42 g/cm³
1.0
-3.074 1.573 0.772
-1.410 -3.922 2.377
1.913 1.758 4.034
Te Au Co
2 1 1
Direct
0.000 0.000 0.000
0.000 0.500 0.500
0.500 0.500 0.000
0.500 0.000 0.500



GGA-PBE Co2TeAu, relaxed; calculated volume = 78.7 Å³ per cell; E_form (uncorrected) = 104 kJ/mol of formula units; symmetry = P3m1; VASP energy = -4.89 eV/atom; size of the total moment = 3.071 μB per cell; theoretical density = 9.34 g/cm³
1.0
-1.940 -1.789 2.903
0.830 -3.724 0.913
4.067 1.857 3.855
Co Te Au
2 1 1
Direct
0.292 0.292 0.170
0.958 0.958 0.096
0.625 0.625 0.384
0.625 0.625 0.849



GGA-PBE CoTe2Au, relaxed; calculated volume = 81.5 Å³ per cell; E_form (uncorrected) = 188 kJ/mol of formula units; symmetry = Fm-3m; excess energy over the best structure of this formula in the dataset = 0.571 eV per atom; VASP energy = -3.68 eV/atom; size of the total moment = 0.000 μB per cell; theoretical density = 10.41 g/cm³
1.0
0.000 3.442 3.442
3.442 0.000 3.442
3.442 3.442 0.000
Te Co Au
2 1 1
Direct
0.750 0.750 0.750
0.250 0.250 0.250
0.000 0.000 0.000
0.500 0.500 0.500



GGA-PBE CoTe2Au, relaxed; calculated volume = 82.2 Å³ per cell; E_form (uncorrected) = 197 kJ/mol of formula units; symmetry = Cmmm; excess energy over the best structure of this formula in the dataset = 0.594 eV per atom; VASP energy = -3.66 eV/atom; size of the total moment = 0.580 μB per cell; theoretical density = 10.32 g/cm³
1.0
4.809 -0.020 0.000
-0.809 4.741 0.000
0.000 0.000 3.610
Te Co Au
2 1 1
Direct
0.500 0.500 0.000
0.000 0.000 0.000
0.000 0.500 0.500
0.500 0.000 0.500



GGA-PBE CoTe2Au, relaxed; calculated volume = 86.6 Å³ per cell; E_form (uncorrected) = 274 kJ/mol of formula units; symmetry = F-43m; excess energy over the best structure of this formula in the dataset = 0.793 eV per atom; VASP energy = -3.46 eV/atom; size of the total moment = 1.724 μB per cell; theoretical density = 9.80 g/cm³
1.0
-2.406 -1.922 3.897
-1.421 -4.759 -0.059
2.267 -3.305 2.934
Te Au Co
2 1 1
Direct
0.000 0.000 0.000
0.250 0.250 0.250
0.500 0.500 0.500
0.750 0.750 0.750



GGA-PBE CoTe2Au, relaxed; calculated volume = 90.2 Å³ per cell; E_form (uncorrected) = 52 kJ/mol of formula units; symmetry = Amm2; excess energy over the best structure of this formula in the dataset = 0.218 eV per atom; VASP energy = -4.03 eV/atom; size of the total moment = 0.647 μB per cell; theoretical density = 9.41 g/cm³
1.0
4.239 0.000 0.000
0.000 4.773 0.051
0.000 1.658 4.476
Co Te Au
1 2 1
Direct
0.500 0.739 0.739
0.000 0.911 0.911
0.500 0.314 0.314
0.000 0.536 0.536



GGA-PBE CoTe2Au, relaxed; calculated volume = 94.8 Å³ per cell; E_form (uncorrected) = 223 kJ/mol of formula units; symmetry = R-3m; excess energy over the best structure of this formula in the dataset = 0.663 eV per atom; VASP energy = -3.59 eV/atom; size of the total moment = 1.318 μB per cell; theoretical density = 8.95 g/cm³
1.0
0.774 0.327 11.599
3.142 2.208 10.977
0.273 3.338 11.137
Co Au Te
1 1 2
Direct
0.000 0.000 0.000
0.500 0.500 0.500
0.929 0.929 0.929
0.071 0.071 0.071



GGA-PBE CoTe2Au, relaxed; calculated volume = 81.0 Å³ per cell; E_form (uncorrected) = 126 kJ/mol of formula units; symmetry = P4/mmm; excess energy over the best structure of this formula in the dataset = 0.410 eV per atom; VASP energy = -3.84 eV/atom; size of the total moment = 0.000 μB per cell; theoretical density = 10.48 g/cm³
1.0
-0.543 -2.290 -2.211
3.005 0.371 -1.123
2.525 -5.399 4.972
Te Co Au
2 1 1
Direct
0.000 0.000 0.954
0.000 0.000 0.546
0.500 0.500 0.750
0.500 0.500 0.250



GGA-PBE CoTe2Au, relaxed; calculated volume = 99.3 Å³ per cell; E_form (uncorrected) = -32 kJ/mol of formula units; symmetry = R-3m; excess energy over the best structure of this formula in the dataset = 0.000 eV per atom; VASP energy = -4.25 eV/atom; size of the total moment = 0.000 μB per cell; theoretical density = 8.55 g/cm³
1.0
-5.062 3.429 5.375
-1.727 5.182 6.036
-3.971 6.359 3.171
Co Au Te
1 1 2
Direct
0.500 0.500 0.500
0.000 0.000 0.000
0.112 0.112 0.112
0.888 0.888 0.888



GGA-PBE Co2TeAu, relaxed; calculated volume = 65.0 Å³ per cell; E_form (uncorrected) = 109 kJ/mol of formula units; symmetry = Pm; VASP energy = -4.88 eV/atom; size of the total moment = 2.631 μB per cell; theoretical density = 11.30 g/cm³
1.0
3.932 0.000 0.000
0.000 3.521 0.005
0.000 1.740 4.699
Co Au Te
2 1 1
Direct
0.000 0.205 0.967
0.500 0.045 0.282
0.500 0.767 0.842
0.000 0.483 0.410



GGA-PBE CoTe2Au, relaxed; calculated volume = 99.7 Å³ per cell; E_form (uncorrected) = 33 kJ/mol of formula units; symmetry = Cm; excess energy over the best structure of this formula in the dataset = 0.171 eV per atom; VASP energy = -4.08 eV/atom; size of the total moment = 1.001 μB per cell; theoretical density = 8.51 g/cm³
1.0
5.004 -0.044 -0.044
3.769 3.292 -0.044
1.709 0.633 5.975
Au Co Te
1 1 2
Direct
0.574 0.574 0.337
0.279 0.279 0.379
0.924 0.924 0.110
0.722 0.722 0.674



GGA-PBE Co2TeAu, relaxed; calculated volume = 65.1 Å³ per cell; E_form (uncorrected) = 219 kJ/mol of formula units; symmetry = F-43m; VASP energy = -4.59 eV/atom; size of the total moment = 2.530 μB per cell; theoretical density = 11.28 g/cm³
1.0
-1.362 3.785 -2.052
-1.327 -0.123 -4.315
-4.359 0.562 -1.039
Au Co Te
1 2 1
Direct
0.500 0.500 0.500
0.250 0.250 0.250
0.000 0.000 0.000
0.750 0.750 0.750



GGA-PBE CoTe2Au, relaxed; calculated volume = 98.2 Å³ per cell; E_form (uncorrected) = 13 kJ/mol of formula units; symmetry = Immm; excess energy over the best structure of this formula in the dataset = 0.119 eV per atom; VASP energy = -4.13 eV/atom; size of the total moment = 1.125 μB per cell; theoretical density = 8.64 g/cm³
1.0
-6.485 2.036 0.505
-3.909 1.125 5.469
5.827 1.160 -3.341
Te Co Au
2 1 1
Direct
0.394 0.394 0.000
0.106 0.106 0.000
0.250 0.750 0.500
0.750 0.250 0.500



GGA-PBE Co2TeAu, relaxed; calculated volume = 63.6 Å³ per cell; E_form (uncorrected) = 162 kJ/mol of formula units; symmetry = I-4m2; VASP energy = -4.74 eV/atom; size of the total moment = 2.919 μB per cell; theoretical density = 11.56 g/cm³
1.0
-3.537 3.537 -0.751
-4.730 -1.512 0.964
4.400 -0.195 2.487
Co Au Te
2 1 1
Direct
0.000 0.000 0.000
0.250 0.750 0.500
0.750 0.250 0.500
0.500 0.500 0.000



GGA-PBE CoTe2Au, relaxed; calculated volume = 100.2 Å³ per cell; E_form (uncorrected) = 48 kJ/mol of formula units; symmetry = P2/m; excess energy over the best structure of this formula in the dataset = 0.210 eV per atom; VASP energy = -4.04 eV/atom; size of the total moment = 0.193 μB per cell; theoretical density = 8.47 g/cm³
1.0
3.860 0.000 0.000
0.000 5.057 -0.023
0.000 4.074 5.116
Te Co Au
2 1 1
Direct
0.000 0.683 0.544
0.000 0.817 0.956
0.500 0.750 0.750
0.500 0.250 0.250



GGA-PBE Co2TeAu, relaxed; calculated volume = 65.9 Å³ per cell; E_form (uncorrected) = 166 kJ/mol of formula units; symmetry = R-3m; VASP energy = -4.73 eV/atom; size of the total moment = 1.623 μB per cell; theoretical density = 11.15 g/cm³
1.0
-0.637 2.629 7.003
-0.847 -0.570 7.437
2.053 0.839 7.172
Te Co Au
1 2 1
Direct
0.250 0.250 0.250
0.504 0.504 0.504
0.996 0.996 0.996
0.750 0.750 0.750



GGA-PBE CoTe2Au, relaxed; calculated volume = 93.8 Å³ per cell; E_form (uncorrected) = 127 kJ/mol of formula units; symmetry = C2/m; excess energy over the best structure of this formula in the dataset = 0.414 eV per atom; VASP energy = -3.84 eV/atom; size of the total moment = 1.739 μB per cell; theoretical density = 9.05 g/cm³
1.0
-4.114 -1.333 -2.451
2.878 -4.038 -0.346
-2.155 -4.094 1.896
Te Au Co
2 1 1
Direct
0.500 0.500 0.000
0.000 0.000 0.000
0.500 0.000 0.500
0.000 0.500 0.500



GGA-PBE Co3TeAu, relaxed; calculated volume = 99.5 Å³ per cell; E_form (uncorrected) = 537 kJ/mol of formula units; symmetry = Pm-3m; excess energy over the best structure of this formula in the dataset = 0.000 eV per atom; VASP energy = -4.43 eV/atom; size of the total moment = 4.239 μB per cell; theoretical density = 8.36 g/cm³
1.0
-3.103 -1.392 3.148
3.293 -2.435 2.169
1.003 3.689 2.619
Co Te Au
3 1 1
Direct
0.000 0.500 0.000
0.000 0.000 0.500
0.500 0.000 0.000
0.000 0.000 0.000
0.500 0.500 0.500



GGA-PBE Co2TeAu, relaxed; calculated volume = 71.5 Å³ per cell; E_form (uncorrected) = 114 kJ/mol of formula units; symmetry = R3m; VASP energy = -4.86 eV/atom; size of the total moment = 3.068 μB per cell; theoretical density = 10.27 g/cm³
1.0
-2.274 -1.019 5.331
-4.646 -2.492 2.613
-1.411 -4.415 3.625
Co Te Au
2 1 1
Direct
0.972 0.972 0.972
0.278 0.278 0.278
0.525 0.525 0.525
0.726 0.726 0.726



GGA-PBE CoTe2Au, relaxed; calculated volume = 211.5 Å³ per cell; E_form (uncorrected) = 17 kJ/mol of formula units; symmetry = I-42d; excess energy over the best structure of this formula in the dataset = 0.128 eV per atom; VASP energy = -4.12 eV/atom; size of the total moment = 0.000 μB per cell; theoretical density = 8.03 g/cm³
1.0
-1.512 2.400 -5.387
-5.895 -0.443 1.457
-3.532 6.205 0.315
Co Au Te
2 2 4
Direct
0.250 0.750 0.500
0.500 0.500 0.000
0.750 0.250 0.500
0.000 0.000 0.000
0.579 0.125 0.250
0.875 0.829 0.750
0.171 0.625 0.250
0.375 0.421 0.750



GGA-PBE Co2TeAu, relaxed; calculated volume = 68.5 Å³ per cell; E_form (uncorrected) = 114 kJ/mol of formula units; symmetry = P4mm; VASP energy = -4.86 eV/atom; size of the total moment = 2.779 μB per cell; theoretical density = 10.72 g/cm³
1.0
-1.842 2.526 -0.597
-1.920 -1.819 -1.770
-3.713 -1.412 5.480
Co Te Au
2 1 1
Direct
0.500 0.500 0.209
0.000 0.000 0.046
0.000 0.000 0.425
0.500 0.500 0.819



GGA-PBE Co2TeAu, relaxed; calculated volume = 182.2 Å³ per cell; E_form (uncorrected) = 266 kJ/mol of formula units; symmetry = I-42d; VASP energy = -4.47 eV/atom; size of the total moment = 6.517 μB per cell; theoretical density = 8.07 g/cm³
1.0
5.411 0.000 0.000
0.000 5.411 0.000
2.706 2.706 6.221
Te Co Au
2 4 2
Direct
0.250 0.750 0.500
0.500 0.500 0.000
0.375 0.375 0.750
0.625 0.125 0.250
0.125 0.625 0.250
0.875 0.875 0.750
0.750 0.250 0.500
0.000 0.000 0.000



GGA-PBE CoTeAu, relaxed; calculated volume = 60.3 Å³ per cell; E_form (uncorrected) = 51 kJ/mol of formula units; symmetry = P3m1; excess energy over the best structure of this formula in the dataset = 0.028 eV per atom; VASP energy = -4.33 eV/atom; size of the total moment = 0.000 μB per cell; theoretical density = 10.55 g/cm³
1.0
-0.245 -3.345 1.176
1.156 0.643 -3.298
5.183 0.278 1.871
Co Au Te
1 1 1
Direct
0.667 0.333 0.347
0.000 0.000 0.059
0.333 0.667 0.594